No. 1
SiGeSe3: optimized geometry, GGA-PBE.

Output
mass density = 3.965 g/cm3
symmetry = C2/m (12)
formation energy without anion corrections = -1.52 eV per formula unit

Lattice parameters (Å, degrees): 3.6701 6.3229 12.7354 89.44 90.00 106.87
Sites, in units of the cell vectors:
Si  0.8889  0.7779  0.7251
Si  0.1111  0.2221  0.2749
Ge  0.6001  0.2003  0.8849
Ge  0.3999  0.7997  0.1151
Se  0.3495  0.6990  0.6166
Se  0.6505  0.3010  0.3834
Se  0.8112  0.6225  0.8872
Se  0.1888  0.3775  0.1128
Se  0.0817  0.1634  0.7401
Se  0.9183  0.8366  0.2599


No. 2
CdAs3: optimized geometry, GGA-PBE.

Output
mass density = 6.798 g/cm3
symmetry = P4/mmm (123)
DOS(E_F) = 1.7 states/eV/f.u.
ΔE_f = 0.34 eV per atom
offset from the most stable computed form = 364 meV per atom

Lattice parameters (Å, degrees): 3.4198 3.4198 7.0425 90.00 90.00 90.00
Sites, in units of the cell vectors:
As  0.0000  0.0000  0.0329
As  0.5000  0.5000  0.2500
As  0.0000  0.0000  0.4671
Cd  0.5000  0.5000  0.7500


No. 3
Tl2Ag2Ge: optimized geometry, GGA-PBE.

Output
mass density = 9.722 g/cm3
symmetry = P4/mbm (127)
DOS(E_F) = 1.8 states/eV/f.u.
ΔE_f = 0.20 eV per atom
offset from the most stable computed form = 0 meV per atom

Lattice parameters (Å, degrees): 7.1476 7.1476 4.6614 90.00 90.00 90.00
Sites, in units of the cell vectors:
Tl  0.1675  0.6675  0.5000
Tl  0.6675  0.8325  0.5000
Tl  0.8325  0.3325  0.5000
Tl  0.3325  0.1675  0.5000
Ge  0.0000  0.0000  0.0000
Ge  0.5000  0.5000  0.0000
Ag  0.3567  0.8567  0.0000
Ag  0.8567  0.6433  0.0000
Ag  0.6433  0.1433  0.0000
Ag  0.1433  0.3567  0.0000


No. 4
Cs2CoPbBr6: optimized geometry, GGA-PBE.

Output
mass density = 4.751 g/cm3
symmetry = Fm-3m (225)
DOS(E_F) = 18.3 states/eV/f.u.
formation energy without anion corrections = -10.56 eV per formula unit
offset from the most stable computed form = 12 meV per atom

Lattice parameters (Å, degrees): 7.9335 7.9335 7.9383 60.02 60.02 90.00
Site moments in Bohr magnetons follow the coordinates.
Sites, in units of the cell vectors:
Pb  0.0000  0.0000  0.0000  0.06
Cs  0.7500  0.2500  0.5000  0.00
Cs  0.2500  0.7500  0.5000  0.00
Co  0.5000  0.5000  0.0000  2.39
Br  0.2678  0.2678  0.4644  0.06
Br  0.7322  0.7322  0.5356  0.06
Br  0.2680  0.2680  0.0000  0.06
Br  0.7320  0.7320  0.0000  0.06
Br  0.7320  0.2680  0.0000  0.06
Br  0.2680  0.7320  0.0000  0.06